## K3HfSc3Se8 (GGA-PBE)

Data for K3HfSc3Se8 after structural relaxation.

Cell and atoms, written as CIF:
```
data_K3HfSc3Se8
_chemical_formula_sum 'K9 Hf3 Sc9 Se24'
_symmetry_space_group_name_H-M 'R -3 m'
_symmetry_Int_Tables_number 166
_symmetry_space_group_name_Hall '-R 3 2"'
_cell_length_a 7.8716
_cell_length_b 7.8716
_cell_length_c 23.3898
_cell_angle_alpha 90.00
_cell_angle_beta 90.00
_cell_angle_gamma 120.00
loop_
_atom_site_label
_atom_site_fract_x
_atom_site_fract_y
_atom_site_fract_z
K1 0.0000 0.5000 0.0000
Hf1 0.0000 0.0000 0.5000
Sc1 0.0000 0.5000 0.5000
Se1 0.0000 0.0000 0.2314
Se2 0.0032 0.5016 0.2312
```

Properties
VASP energy = -83.9 eV/f.u.
density = 4.2 g cm⁻³
size of the total moment = 0.0000 μB/atom
formation energy from raw total energies = -1587 meV/atom
crystal system = trigonal